No. 1
MnCdCo2, relaxed, DFT GGA-PBE; energy = -23.0 eV per cell; crystal system = orthorhombic; energy relative to the elements = 0.317 eV per atom; total magnetization = 6.29 μB/f.u.
1.0
-1.4954 2.1852 4.2362
1.4954 -2.1852 4.2362
1.4954 2.1852 -4.2362
Mn Cd Co
1 1 2
Direct
0.0000 0.0000 0.0000
0.5000 0.5000 0.0000
0.2351 0.7351 0.5000
0.7649 0.2649 0.5000

---

No. 2
MnCdCo, relaxed, DFT GGA-PBE; energy = -16.7 eV per cell; crystal system = tetragonal; E above lowest polymorph = 0.000 eV per atom; energy relative to the elements = 0.179 eV per atom; total magnetization = 4.18 μB/f.u.
1.0
-1.5040 1.5040 4.8828
1.5040 -1.5040 4.8828
1.5040 1.5040 -4.8828
Mn Cd Co
1 1 1
Direct
0.0000 0.0000 0.0000
0.3021 0.3021 0.0000
0.6174 0.6174 0.0000

---

No. 3
MnCdCo2, relaxed, DFT GGA-PBE; energy = -23.0 eV per cell; crystal system = trigonal; energy relative to the elements = 0.328 eV per atom; total magnetization = 6.75 μB/f.u.
1.0
1.3862 0.8003 8.5560
-1.3862 0.8003 8.5560
0.0000 -1.6007 8.5560
Mn Cd Co
1 1 2
Direct
0.0000 0.0000 0.0000
0.7630 0.7630 0.7630
0.2581 0.2581 0.2581
0.5206 0.5206 0.5206